Material: TmGa4Bi
Method: DFT, GGA-PBE
State: relaxed

POSCAR file:
```
TmGa4Bi
1.0
5.638 0.000 0.000
2.819 4.883 0.000
2.819 1.628 4.603
Tm Ga Bi
1 4 1
Cartesian
2.819 1.628 1.151
7.045 4.068 2.876
4.231 4.068 2.876
5.638 1.630 2.876
5.638 3.255 0.578
0.000 0.000 0.000
```

D(E_F) = 3.43 states/eV/f.u.
Energy of formation from the pure elements = -0.189 eV/atom
Spin magnetization = 0.0 μB/f.u.